# 1
This record from Alexandria via LeMat-Bulk describes crystalline TcTeCl2 at its relaxed geometry. The functional is PBE. Values from VASP.

The structure in Quantum ESPRESSO input format:
```
&SYSTEM
  ibrav = 0, nat = 4, ntyp = 3
/
ATOMIC_SPECIES
Tc 98.00 Tc.upf
Te 127.60 Te.upf
Cl 35.45 Cl.upf
CELL_PARAMETERS angstrom
3.189 0.000 0.000
0.000 3.189 0.000
0.000 0.000 8.537
ATOMIC_POSITIONS angstrom
Tc 0.000 0.000 0.000
Te 1.594 1.594 1.664
Cl 0.000 0.000 3.767
Cl 1.594 1.594 6.981
```

Energy relative to the elements, uncorrected = 87 meV/atom
Space group = P4mm, No. 99
Theoretical density = 5.67 g/cm3
D(E_F) = 3.84 states/eV per cell

# 2
This record from Alexandria via LeMat-Bulk describes crystalline RbInAsBr2 at its relaxed geometry. The functional is PBE. Values from VASP.

The structure in Quantum ESPRESSO input format:
```
&SYSTEM
  ibrav = 0, nat = 5, ntyp = 4
/
ATOMIC_SPECIES
Rb 85.47 Rb.upf
In 114.82 In.upf
As 74.92 As.upf
Br 79.90 Br.upf
CELL_PARAMETERS angstrom
5.864 0.000 0.000
0.000 5.864 0.000
0.000 0.000 5.358
ATOMIC_POSITIONS angstrom
Rb 0.000 0.000 0.000
In 2.932 2.932 2.679
As 2.932 2.932 0.000
Br 0.000 2.932 2.679
Br 2.932 0.000 2.679
```

Energy relative to the elements, uncorrected = -570 meV/atom
Space group = P4/mmm, No. 123
Theoretical density = 3.92 g/cm3
D(E_F) = 1.88 states/eV per cell